SmErMoO6: relaxed, PBE with a Hubbard U.

Calculated values
VASP energy in eV/atom: -7.746

Lattice parameters (Å, degrees): 5.5600 5.5600 4.7258 90.00 90.00 120.00
Space group P312 (No. 149)
Unique sites:
Sm 0.0000 0.0000 0.0000
Er 0.6667 0.3333 0.5000
Mo 0.3333 0.6667 0.0000
O 0.0334 0.3819 0.2312